No. 1
A plane-wave DFT calculation with PBE was carried out for an optimized crystal structure of AcNiPt2.

Results
As for the symmetry: Cmcm. The value obtained for the size of the total moment is 0.30 μB/f.u. For the formation energy, the calculation gives -691 meV per atom. The value obtained for the total DFT energy (no corrections) is -6.18 eV/atom.

Cell: 9.464 9.464 4.289 Å, 90.00 90.00 154.25°
Element x y z (fractional)
Ac: 0.112 0.888 0.750
Ac: 0.888 0.112 0.250
Ni: 0.328 0.672 0.750
Ni: 0.672 0.328 0.250
Pt: 0.252 0.748 0.250
Pt: 0.460 0.540 0.750
Pt: 0.540 0.460 0.250
Pt: 0.748 0.252 0.750

---

No. 2
A plane-wave DFT calculation with PBE was carried out for an optimized crystal structure of Ac12NiPt5.

Results
As for the symmetry: C2/m. The value obtained for the size of the total moment is 0.00 μB/f.u. For the formation energy, the calculation gives -684 meV per atom. The value obtained for the total DFT energy (no corrections) is -5.42 eV/atom.

Cell: 7.714 7.714 13.988 Å, 90.05 90.05 121.32°
Element x y z (fractional)
Ac: 0.004 0.678 0.615
Ac: 0.162 0.162 0.117
Ac: 0.170 0.503 0.882
Ac: 0.322 0.996 0.385
Ac: 0.329 0.329 0.614
Ac: 0.497 0.830 0.118
Ac: 0.503 0.170 0.882
Ac: 0.671 0.671 0.386
Ac: 0.678 0.004 0.615
Ac: 0.830 0.497 0.118
Ac: 0.838 0.838 0.883
Ac: 0.996 0.322 0.385
Ni: 0.000 0.000 0.500
Pt: 0.167 0.833 0.000
Pt: 0.333 0.667 0.500
Pt: 0.500 0.500 0.000
Pt: 0.667 0.333 0.500
Pt: 0.833 0.167 0.000